# 1
CaSbI2Cl: PBEsol geometry, meta-GGA SCAN.

Values from the calculation:
Its crystal system is tetragonal. The energy relative to the elements, uncorrected is -47 meV per atom.

Lattice parameters (Å, degrees): 5.672 5.672 5.274 90.00 90.00 90.00
Fractional coordinates of all 5 atoms:
Ca  0.000  0.000  0.000
Sb  0.500  0.500  0.000
I  0.000  0.500  0.500
I  0.500  0.000  0.500
Cl  0.500  0.500  0.500

***

# 2
Al2RhPb2: PBEsol geometry, meta-GGA SCAN.

Values from the calculation:
Its crystal system is tetragonal. The calculation puts the formation energy from the elements at 0.33 eV/atom.

Lattice parameters (Å, degrees): 8.984 8.984 8.984 157.25 157.25 32.39
Fractional coordinates of all 5 atoms:
Al  0.250  0.750  0.500
Al  0.750  0.250  0.500
Rh  0.000  0.000  0.000
Pb  0.409  0.409  0.000
Pb  0.591  0.591  0.000

***

# 3
SrLi4Pb: PBEsol geometry, meta-GGA SCAN.

Values from the calculation:
Its crystal system is cubic. The calculation puts the formation energy from the elements at -0.28 eV/atom.

Lattice parameters (Å, degrees): 5.735 5.735 5.735 60.00 60.00 60.00
Fractional coordinates of all 6 atoms:
Sr  0.000  0.000  0.000
Li  0.375  0.375  0.375
Li  0.375  0.375  0.874
Li  0.375  0.874  0.375
Li  0.874  0.375  0.375
Pb  0.750  0.750  0.750

***

# 4
Hf3PBr: PBEsol geometry, meta-GGA SCAN.

Values from the calculation:
Its crystal system is cubic. The energy relative to the elements, uncorrected is 996 meV per atom.

Lattice parameters (Å, degrees): 4.813 4.813 4.813 90.00 90.00 90.00
Fractional coordinates of all 5 atoms:
Hf  0.000  0.000  0.500
Hf  0.000  0.500  0.000
Hf  0.500  0.000  0.000
P  0.500  0.500  0.500
Br  0.000  0.000  0.000

***

# 5
Ir2PbAu: PBEsol geometry, meta-GGA SCAN.

Values from the calculation:
Its crystal system is tetragonal. The calculation puts the formation energy from the elements at 0.63 eV/atom.

Lattice parameters (Å, degrees): 4.746 4.746 4.746 126.42 126.42 79.19
Fractional coordinates of all 4 atoms:
Ir  0.250  0.750  0.500
Ir  0.750  0.250  0.500
Pb  0.000  0.000  0.000
Au  0.500  0.500  0.000

***

# 6
Eu2PI: PBEsol geometry, meta-GGA SCAN.

Values from the calculation:
Its crystal system is trigonal. The energy relative to the elements, uncorrected is -1597 meV per atom.

Lattice parameters (Å, degrees): 7.818 7.818 7.818 31.75 31.75 31.75
Fractional coordinates of all 4 atoms:
Eu  0.234  0.234  0.234
Eu  0.766  0.766  0.766
P  0.500  0.500  0.500
I  0.000  0.000  0.000

***

# 7
ZnCrRe2: PBEsol geometry, meta-GGA SCAN.

Values from the calculation:
Its crystal system is tetragonal. The calculation puts the formation energy from the elements at 0.22 eV/atom.

Lattice parameters (Å, degrees): 2.701 2.701 7.411 90.00 90.00 90.00
Fractional coordinates of all 4 atoms:
Zn  0.000  0.000  0.000
Cr  0.000  0.000  0.500
Re  0.500  0.500  0.266
Re  0.500  0.500  0.734

***

# 8
Hf2InCu2: PBEsol geometry, meta-GGA SCAN.

Values from the calculation:
Its crystal system is tetragonal. The calculation puts the formation energy from the elements at -0.33 eV/atom.

Lattice parameters (Å, degrees): 7.124 7.124 6.646 90.00 90.00 90.00
Fractional coordinates of all 20 atoms:
Hf  0.150  0.150  0.000
Hf  0.195  0.195  0.500
Hf  0.305  0.695  0.000
Hf  0.350  0.650  0.500
Hf  0.650  0.350  0.500
Hf  0.695  0.305  0.000
Hf  0.805  0.805  0.500
Hf  0.850  0.850  0.000
In  0.000  0.500  0.250
In  0.000  0.500  0.750
In  0.500  0.000  0.250
In  0.500  0.000  0.750
Cu  0.123  0.877  0.298
Cu  0.123  0.877  0.702
Cu  0.377  0.377  0.202
Cu  0.377  0.377  0.798
Cu  0.623  0.623  0.202
Cu  0.623  0.623  0.798
Cu  0.877  0.123  0.298
Cu  0.877  0.123  0.702

***

# 9
AgSe3: PBEsol geometry, meta-GGA SCAN.

Values from the calculation:
Its crystal system is tetragonal. The energy relative to the elements, uncorrected is 496 meV per atom.

Lattice parameters (Å, degrees): 4.927 4.927 3.145 90.00 90.00 90.00
Fractional coordinates of all 4 atoms:
Ag  0.000  0.000  0.000
Se  0.000  0.500  0.500
Se  0.500  0.000  0.500
Se  0.500  0.500  0.000

***

# 10
BaNa: PBEsol geometry, meta-GGA SCAN.

Values from the calculation:
Its crystal system is cubic. The calculation puts the formation energy from the elements at -0.03 eV/atom.

Lattice parameters (Å, degrees): 11.756 11.756 11.756 60.00 60.00 60.00
Fractional coordinates of all 24 atoms:
Ba  0.066  0.066  0.684
Ba  0.066  0.684  0.066
Ba  0.066  0.684  0.684
Ba  0.316  0.316  0.934
Ba  0.316  0.934  0.316
Ba  0.316  0.934  0.934
Ba  0.684  0.066  0.066
Ba  0.684  0.066  0.684
Ba  0.684  0.684  0.066
Ba  0.934  0.316  0.316
Ba  0.934  0.316  0.934
Ba  0.934  0.934  0.316
Na  0.000  0.500  0.500
Na  0.296  0.296  0.296
Na  0.296  0.296  0.613
Na  0.296  0.613  0.296
Na  0.387  0.704  0.704
Na  0.500  0.000  0.500
Na  0.500  0.500  0.000
Na  0.500  0.500  0.500
Na  0.613  0.296  0.296
Na  0.704  0.387  0.704
Na  0.704  0.704  0.387
Na  0.704  0.704  0.704

***

# 11
CrInPb2: PBEsol geometry, meta-GGA SCAN.

Values from the calculation:
Its crystal system is tetragonal. The calculation puts the formation energy from the elements at 0.15 eV/atom.

Lattice parameters (Å, degrees): 3.343 3.343 8.555 90.00 90.00 90.00
Fractional coordinates of all 4 atoms:
Cr  0.000  0.000  0.000
In  0.500  0.500  0.189
Pb  0.000  0.000  0.466
Pb  0.500  0.500  0.780

***

# 12
CdCu2Mo: PBEsol geometry, meta-GGA SCAN.

Values from the calculation:
Its crystal system is orthorhombic. The calculation puts the formation energy from the elements at 0.52 eV/atom.

Lattice parameters (Å, degrees): 5.406 5.406 5.406 151.81 126.30 61.74
Fractional coordinates of all 4 atoms:
Cd  0.000  0.000  0.000
Cu  0.255  0.755  0.500
Cu  0.745  0.245  0.500
Mo  0.500  0.500  0.000

***

Number 1: E_tot -25.724 eV/atom. Number 2: E_tot -39.837 eV/atom. Number 3: E_tot -18.212 eV/atom. Number 4: E_tot -42.580 eV/atom. Number 5: E_tot -71.155 eV/atom. Number 6: E_tot -40.238 eV/atom. Number 7: E_tot -43.307 eV/atom. Number 8: E_tot -38.155 eV/atom. Number 9: E_tot -22.405 eV/atom. Number 10: E_tot -21.910 eV/atom. Number 11: E_tot -50.679 eV/atom. Number 12: E_tot -23.402 eV/atom.